Below is a PBEsol-optimized structure of AsPCl2, with properties calculated at the meta-GGA SCAN level.

Structure (extended XYZ):
```
4
Lattice="-2.962 -2.569 2.514 -0.022 -4.636 -0.448 1.598 -2.681 3.457" Properties=species:S:1:pos:R:3 pbc="T T T"
As 0.000 0.000 0.000
Cl -0.347 -2.471 1.381
Cl -1.040 -7.414 4.142
P -0.693 -4.943 2.761
```

Output
energy above the most stable polymorph in this dataset: 29.937 kcal/mol of atoms
symmetry: Fm-3m
volume: 71.4 Å³/cell
VASP energy: -10.750 eV per atom

---

Below is a PBEsol-optimized structure of As2PCl, with properties calculated at the meta-GGA SCAN level.

Structure (extended XYZ):
```
4
Lattice="-3.555 -0.723 -1.539 0.350 -4.293 1.208 -0.125 1.353 4.845" Properties=species:S:1:pos:R:3 pbc="T T T"
As -3.090 0.300 1.962
As -0.590 0.330 1.344
Cl -1.602 -2.508 -0.166
P -1.665 -1.831 2.257
```

Output
energy above the most stable polymorph in this dataset: 0.000 kcal/mol of atoms
symmetry: P2/m
volume: 81.2 Å³/cell
VASP energy: -14.557 eV per atom

---

Number 1: raw formation energy 3.55 eV/f.u., magnetization 0.000 μB per atom. Number 2: raw formation energy 0.53 eV/f.u., magnetization 0.000 μB per atom.